Ti3NbV2P6O24 after structural relaxation, computed with GGA+U.

Values from the calculation:
- density of states at the Fermi level (states/eV/cell) = 10.6
- magnetic moment (μB/cell) = 9.0
- total DFT energy (no corrections) (eV per atom) = -7.94
- mass density (g cm⁻³) = 3.2
- crystal system = trigonal

Cell: 8.6691 8.7305 8.7305 Å, 60.00 59.77 59.77°
Closest atoms and distances in Å follow each position.
Atoms (fractional coordinates):
Ti (0.0643, 0.6452, 0.6452)  6 O 1.93-2.08
Ti (0.4361, 0.8546, 0.8546)  6 O 1.94-2.10
Ti (0.9356, 0.3548, 0.3548)  6 O 1.94-2.10
Nb (0.5679, 0.1440, 0.1440)  6 O 2.00-2.13
V (0.0058, 0.9981, 0.9981)  6 O 2.20-2.27
V (0.4990, 0.5003, 0.5003)  6 O 2.24-2.25
P (0.2461, 0.2513, 0.5492)  4 O 1.53-1.55
P (0.2461, 0.9534, 0.2513)  4 O 1.53-1.55
P (0.2461, 0.5492, 0.9534)  4 O 1.53-1.55
P (0.7508, 0.4597, 0.0444)  4 O 1.53-1.57
P (0.7508, 0.0444, 0.7452)  4 O 1.53-1.57
P (0.7508, 0.7452, 0.4597)  4 O 1.53-1.57
O (0.0711, 0.1144, 0.3126)  1 P 1.53
O (0.0711, 0.5019, 0.1144)  1 P 1.53
O (0.0711, 0.3126, 0.5019)  1 P 1.53
O (0.2310, 0.0893, 0.7406)  1 P 1.55
O (0.4287, 0.1867, 0.3921)  1 P 1.55
O (0.2653, 0.4114, 0.5628)  1 P 1.55
O (0.2310, 0.9391, 0.0893)  1 P 1.55
O (0.2653, 0.7605, 0.4114)  1 P 1.55
O (0.5706, 0.6134, 0.0014)  1 P 1.54
O (0.2653, 0.5628, 0.7605)  1 P 1.55
O (0.7730, 0.2639, 0.0575)  1 P 1.57
O (0.5706, 0.0014, 0.8146)  1 P 1.54
O (0.4287, 0.9925, 0.1867)  1 P 1.55
O (0.2310, 0.7406, 0.9391)  1 P 1.55
O (0.7312, 0.4432, 0.2386)  1 P 1.55
O (0.4287, 0.3921, 0.9925)  1 P 1.55
O (0.7312, 0.2386, 0.5870)  1 P 1.55
O (0.7730, 0.0575, 0.9057)  1 P 1.57
O (0.7312, 0.5870, 0.4432)  1 P 1.55
O (0.5706, 0.8146, 0.6134)  1 P 1.54
O (0.7730, 0.9057, 0.2639)  1 P 1.57
O (0.9293, 0.6805, 0.5027)  1 P 1.53
O (0.9293, 0.5027, 0.8875)  1 P 1.53
O (0.9293, 0.8875, 0.6805)  1 P 1.53